(1)
Crystalline Pm4HgTe4 at its relaxed geometry. Source: the Alexandria database, functional PBE.

The structure in POSCAR format:
```
Pm4HgTe4
1.0
7.282 0.000 0.000
0.000 7.282 0.000
-3.641 -3.641 6.936
Hg Pm Te
1 4 4
direct
0.000 0.000 0.000
0.356 0.901 0.257
0.099 0.099 0.743
0.644 0.644 0.743
0.901 0.356 0.257
0.722 0.722 0.443
0.000 0.500 0.000
0.500 0.000 0.000
0.278 0.278 0.557
```

The formation energy without anion corrections comes out at -7.753 eV per formula unit.

---

(2)
Crystalline NaNbO4 at its relaxed geometry. Source: the Alexandria database, functional PBE.

The structure in POSCAR format:
```
NaNbO4
1.0
-3.024 0.584 -1.545
0.256 -3.019 -1.641
-2.810 -2.678 4.489
O Nb Na
4 1 1
direct
0.500 0.000 0.708
0.000 0.500 0.708
0.000 0.500 0.292
0.500 0.000 0.292
0.500 0.500 0.500
0.000 0.000 0.000
```

The formation energy without anion corrections comes out at -9.218 eV per formula unit.

---

(3)
Crystalline Li2MgAs2Pd5 at its relaxed geometry. Source: the Alexandria database, functional PBE.

The structure in POSCAR format:
```
Li2MgAs2Pd5
1.0
3.855 0.000 0.000
0.000 9.253 0.000
0.000 0.000 9.253
Li Pd As Mg
4 10 4 2
direct
0.000 0.333 0.833
0.000 0.167 0.333
0.000 0.833 0.667
0.000 0.667 0.167
0.500 0.202 0.074
0.500 0.500 0.000
0.500 0.000 0.500
0.500 0.298 0.574
0.500 0.926 0.202
0.500 0.426 0.298
0.500 0.074 0.798
0.500 0.702 0.426
0.500 0.798 0.926
0.500 0.574 0.702
0.000 0.134 0.634
0.000 0.866 0.366
0.000 0.366 0.134
0.000 0.634 0.866
0.000 0.000 0.000
0.000 0.500 0.500
```

The formation enthalpy at 0 K is -0.49 eV per atom.

---

(4)
Crystalline Al2TlCoSi at its relaxed geometry. Source: the Alexandria database, functional PBE.

The structure in POSCAR format:
```
Al2TlCoSi
1.0
4.757 0.000 0.000
0.000 5.319 0.000
0.000 0.000 4.757
Si Tl Al Co
1 1 2 1
direct
0.000 0.000 0.000
0.000 0.500 0.000
0.000 0.000 0.500
0.500 0.000 0.000
0.500 0.500 0.500
```

The formation energy without anion corrections comes out at 5.216 eV per formula unit.